# 1
This record from Alexandria via LeMat-Bulk describes a geometry-optimized La2CeHg8 structure. The functional is GGA-PBE.

abc: 5.3374 7.4580 8.8589
angles: 114.89 107.53 90.00
Last column: nearest neighbours and their distance in Å.
Sites, in units of the cell vectors:
Hg 0.0000 0.2847 0.0000  7 Hg 3.19-3.46, 2 La 3.33, 2 Ce 3.41
Hg 0.1573 0.1573 0.3145  8 Hg 3.19-3.43, 2 La 3.51
La 0.8075 0.3075 0.6150  10 Hg 3.18-3.51
La 0.1925 0.6925 0.3850  10 Hg 3.18-3.51
Hg 0.3543 0.5654 0.7086  1 Ce 3.09, 4 Hg 3.15-3.43, 3 La 3.18-3.26
Hg 0.3543 0.1432 0.7085  1 Ce 3.09, 4 Hg 3.15-3.43, 3 La 3.18-3.26
Hg 0.6457 0.4346 0.2914  1 Ce 3.09, 4 Hg 3.15-3.43, 3 La 3.18-3.26
Hg 0.8427 0.8427 0.6855  8 Hg 3.19-3.43, 2 La 3.51
Ce 0.5000 0.0000 0.0000  8 Hg 3.09-3.41
Hg 0.6457 0.8568 0.2915  1 Ce 3.09, 4 Hg 3.15-3.43, 3 La 3.18-3.26
Hg 0.0000 0.7153 0.0000  7 Hg 3.19-3.46, 2 La 3.33, 2 Ce 3.41

## Properties
ΔE_f = -3.9 eV per formula unit
Spin magnetization = 1.11 μB per cell
E = -0.0737 Ha/atom
Calculated volume = 27.4 Å³ per atom

=====

# 2
This record from Alexandria via LeMat-Bulk describes a geometry-optimized LaCe2Hg structure. The functional is GGA-PBE.

abc: 3.5433 3.5433 11.3573
angles: 81.03 81.03 60.00
Last column: nearest neighbours and their distance in Å.
Sites, in units of the cell vectors:
Hg 0.6665 0.6665 0.0006  6 Ce 3.29-3.30, 6 Hg 3.54
Ce 0.0769 0.0769 0.7694  3 Hg 3.30, 6 Ce 3.54, 3 La 3.65
La 0.5004 0.5004 0.4987  6 La 3.54, 6 Ce 3.62-3.65
Ce 0.2562 0.2562 0.2313  3 Hg 3.29, 6 Ce 3.54, 3 La 3.62

## Properties
ΔE_f = 0.0 eV per formula unit
Spin magnetization = 0.22 μB per cell
E = -0.1570 Ha/atom
Calculated volume = 30.4 Å³ per atom